(1)
The following is a DFT calculation (PBE) of a relaxed Pr2PaH crystal.

The space group is P4/mmm (No. 123) and the conventional cell measures 3.300, 3.300 and 8.578 Å, with angles of 90.00, 90.00 and 90.00 degrees. The inequivalent atoms are Pr at (0.000, 0.000, 0.198), Pa at (0.500, 0.500, 0.500) and H at (0.500, 0.500, 0.000).

For the electronic total energy, the calculation gives -0.1988 Ha/atom.

(2)
The following is a DFT calculation (PBE) of a relaxed La3NdPb4 crystal.

The space group is C2/m (No. 12) and the conventional cell measures 19.227, 5.199 and 5.199 Å, with angles of 90.00, 105.58 and 90.00 degrees. The inequivalent atoms are La at (0.000, 0.000, 0.000), La at (0.248, 0.500, 0.748), Nd at (0.000, 0.500, 0.500), Pb at (0.124, 0.000, 0.624) and Pb at (0.124, 0.500, 0.124).

For the electronic total energy, the calculation gives -0.1787 Ha/atom.

(3)
The following is a DFT calculation (PBE) of a relaxed Nd3NbN4 crystal.

The space group is Pmn2_1 (No. 31) and the conventional cell measures 8.093, 6.864 and 5.235 Å, with angles of 90.00, 90.00 and 90.00 degrees. The inequivalent atoms are Nd at (0.000, 0.156, 0.000), Nd at (0.246, 0.331, 0.502), Nb at (0.000, 0.821, 0.457), N at (0.000, 0.115, 0.496), N at (0.000, 0.820, 0.075) and N at (0.227, 0.693, 0.494).

The formation energy without anion corrections is -1.189 eV per atom.

(4)
The following is a DFT calculation (PBE) of a relaxed Tc3BC crystal.

The space group is Pm-3m (No. 221) and the conventional cell measures 4.033, 4.033 and 4.033 Å, with angles of 90.00, 90.00 and 90.00 degrees. The inequivalent atoms are Tc at (0.000, 0.000, 0.500), B at (0.000, 0.000, 0.000) and C at (0.500, 0.500, 0.500).

For the electronic total energy, the calculation gives -0.2918 Ha/atom.

Number 1: DOS(E_F) 5.57 states/eV per cell. Number 2: DOS(E_F) 16.65 states/eV per cell. Number 3: DOS(E_F) 7.65 states/eV per cell. Number 4: DOS(E_F) 4.63 states/eV per cell.